Record 1
Computed, not measured: crystalline LiBiCl4 at its relaxed geometry at the PBE level of DFT.

The structure belongs to space group Cmmm (No. 65); the cell edges are 8.660, 9.704 and 4.017 Å and the angles 90.00°, 90.00° and 90.00°. The distinct sites, in fractional coordinates, are Li at (0.000, 0.000, 0.000), Bi at (0.000, 0.500, 0.500), Cl at (0.000, 0.305, 0.000) and Cl at (0.187, 0.000, 0.500).

The calculation puts the density of states at the Fermi level at 0.00 states/eV/cell. The calculation puts the uncorrected formation energy at -1230 meV per atom. The value obtained for the relative energy among the computed polymorphs is 0.000 eV/atom. The calculation puts the magnetic moment at 0.00 μB/atom.


Record 2
Computed, not measured: crystalline NbV12Tc6 at its relaxed geometry at the PBE level of DFT.

The structure belongs to space group R-3m (No. 166, hexagonal axes); the cell edges are 10.8266, 10.8266 and 8.7040 Å and the angles 90.00°, 90.00° and 120.00°. The distinct sites, in fractional coordinates, are Nb at (0.0000, 0.0000, 0.0000), V at (0.0000, 0.3885, 0.5000), V at (0.0838, 0.1676, 0.2952) and Tc at (0.0579, 0.5289, 0.2379).

The calculation puts the density of states at the Fermi level at 51.56 states/eV/cell. The calculation puts the magnetic moment at 0.00 μB/atom. The formation energy is 0.366 eV/atom.


Record 3
Computed, not measured: crystalline Dy6BeZn5 at its relaxed geometry at the PBE level of DFT.

The structure belongs to space group Immm (No. 71); the cell edges are 5.001, 7.119 and 14.965 Å and the angles 90.00°, 90.00° and 90.00°. The distinct sites, in fractional coordinates, are Dy at (0.000, 0.241, 0.000), Dy at (0.000, 0.254, 0.336), Be at (0.000, 0.500, 0.500), Zn at (0.000, 0.000, 0.169), Zn at (0.000, 0.000, 0.500) and Zn at (0.000, 0.500, 0.167).

The calculation puts the density of states at the Fermi level at 28.36 states/eV/cell. The calculation puts the magnetic moment at 0.00 μB/atom. The formation energy is -0.261 eV/atom.


Record 4
Computed, not measured: crystalline MgNi3H at its relaxed geometry at the PBE level of DFT.

The structure belongs to space group C2/m (No. 12); the cell edges are 8.538, 5.336 and 6.206 Å and the angles 90.00°, 132.68° and 90.00°. The distinct sites, in fractional coordinates, are Mg at (0.227, 0.000, 0.174), Ni at (0.047, 0.230, 0.343), Ni at (0.213, 0.500, 0.190) and H at (0.001, 0.500, 0.825).

The calculation puts the density of states at the Fermi level at 9.40 states/eV/cell. The value obtained for the relative energy among the computed polymorphs is 0.033 eV/atom. The calculation puts the magnetic moment at 0.00 μB/atom.